# 1
# RbSnTe3Au | OQMD | GGA-PBE | relaxed
# Energy above the lowest structure with this stoichiometry ... 0.0 meV per atom
# E ... -3.334 eV per atom
data_RbSnTe3Au
_cell_length_a 14.376
_cell_length_b 4.684
_cell_length_c 12.365
_cell_angle_alpha 90.00
_cell_angle_beta 90.00
_cell_angle_gamma 90.00
_space_group_name_H-M_alt 'P 1'
_space_group_IT_number 1
loop_
_space_group_symop_operation_xyz
'x,y,z'
loop_
_atom_site_label
_atom_site_type_symbol
_atom_site_fract_x
_atom_site_fract_y
_atom_site_fract_z
Rb1 Rb 0.160 0.250 0.001
Rb2 Rb 0.340 0.750 0.501
Rb3 Rb 0.660 0.250 0.499
Rb4 Rb 0.840 0.750 0.999
Sn1 Sn 0.017 0.750 0.646
Sn2 Sn 0.483 0.250 0.146
Sn3 Sn 0.517 0.750 0.854
Sn4 Sn 0.983 0.250 0.354
Te1 Te 0.045 0.750 0.210
Te2 Te 0.123 0.250 0.523
Te3 Te 0.188 0.750 0.770
Te4 Te 0.312 0.250 0.270
Te5 Te 0.377 0.750 0.023
Te6 Te 0.455 0.250 0.710
Te7 Te 0.545 0.750 0.290
Te8 Te 0.623 0.250 0.977
Te9 Te 0.688 0.750 0.730
Te10 Te 0.812 0.250 0.230
Te11 Te 0.877 0.750 0.477
Te12 Te 0.955 0.250 0.790
Au1 Au 0.232 0.750 0.216
Au2 Au 0.268 0.250 0.716
Au3 Au 0.732 0.750 0.284
Au4 Au 0.768 0.250 0.784


# 2
# RbSnTe3Au | OQMD | GGA-PBE | relaxed
# Energy above the lowest structure with this stoichiometry ... 19.7 meV per atom
# E ... -3.315 eV per atom
data_RbSnTe3Au
_cell_length_a 9.232
_cell_length_b 4.442
_cell_length_c 11.011
_cell_angle_alpha 90.00
_cell_angle_beta 109.19
_cell_angle_gamma 90.00
_space_group_name_H-M_alt 'P 1'
_space_group_IT_number 1
loop_
_space_group_symop_operation_xyz
'x,y,z'
loop_
_atom_site_label
_atom_site_type_symbol
_atom_site_fract_x
_atom_site_fract_y
_atom_site_fract_z
Rb1 Rb 0.240 0.250 0.302
Rb2 Rb 0.760 0.750 0.698
Sn1 Sn 0.323 0.750 0.865
Sn2 Sn 0.677 0.250 0.135
Te1 Te 0.098 0.250 0.851
Te2 Te 0.251 0.750 0.580
Te3 Te 0.448 0.750 0.144
Te4 Te 0.552 0.250 0.856
Te5 Te 0.749 0.250 0.420
Te6 Te 0.902 0.750 0.149
Au1 Au 0.047 0.250 0.589
Au2 Au 0.953 0.750 0.411


# 3
# RbSnTe3Au | OQMD | GGA-PBE | relaxed
# Energy above the lowest structure with this stoichiometry ... 46.8 meV per atom
# E ... -3.287 eV per atom
data_RbSnTe3Au
_cell_length_a 8.460
_cell_length_b 8.460
_cell_length_c 11.928
_cell_angle_alpha 90.00
_cell_angle_beta 90.00
_cell_angle_gamma 151.51
_space_group_name_H-M_alt 'P 1'
_space_group_IT_number 1
loop_
_space_group_symop_operation_xyz
'x,y,z'
loop_
_atom_site_label
_atom_site_type_symbol
_atom_site_fract_x
_atom_site_fract_y
_atom_site_fract_z
Rb1 Rb 0.243 0.757 0.750
Rb2 Rb 0.757 0.243 0.250
Sn1 Sn 0.500 0.500 0.000
Sn2 Sn 0.500 0.500 0.500
Te1 Te 0.131 0.869 0.035
Te2 Te 0.131 0.869 0.465
Te3 Te 0.454 0.546 0.250
Te4 Te 0.546 0.454 0.750
Te5 Te 0.869 0.131 0.535
Te6 Te 0.869 0.131 0.965
Au1 Au 0.074 0.926 0.250
Au2 Au 0.926 0.074 0.750


# 4
# RbTcAu | OQMD | GGA-PBE | relaxed
# Energy above the lowest structure with this stoichiometry ... 0.0 meV per atom
# E ... -3.697 eV per atom
data_RbTcAu
_cell_length_a 5.174
_cell_length_b 5.174
_cell_length_c 10.418
_cell_angle_alpha 90.00
_cell_angle_beta 90.00
_cell_angle_gamma 120.00
_space_group_name_H-M_alt 'P 1'
_space_group_IT_number 1
loop_
_space_group_symop_operation_xyz
'x,y,z'
loop_
_atom_site_label
_atom_site_type_symbol
_atom_site_fract_x
_atom_site_fract_y
_atom_site_fract_z
Rb1 Rb 0.000 0.000 0.000
Rb2 Rb 0.000 0.000 0.309
Rb3 Rb 0.000 0.000 0.654
Tc1 Tc 0.333 0.667 0.419
Tc2 Tc 0.333 0.667 0.893
Tc3 Tc 0.667 0.333 0.153
Au1 Au 0.333 0.667 0.156
Au2 Au 0.667 0.333 0.431
Au3 Au 0.667 0.333 0.877


- Which value of energy above the lowest structure with this stoichiometry does entry 3 give?
  46.8 meV per atom


- Which of these has the highest energy above the lowest structure with this stoichiometry?
  number 3


- What is the energy above the lowest structure with this stoichiometry in the fourth record?
  0.0 meV per atom